Entry 1:
Here is a geometry-optimized SrMgCd4In2 structure from the Alexandria database. Energies are from PBE.

a b c (Å): 9.4203 9.4203 9.4203
angles (deg): 31.73 31.73 31.73
With the nearest neighbours (Å) after each atom.
Fractional positions:
Sr: 0.0000 0.0000 0.0000  8 Cd 3.34-3.57, 6 In 3.68
Mg: 0.5000 0.5000 0.5000  8 Cd 2.95-3.11
Cd: 0.1333 0.1333 0.1333  3 Mg 3.11, 4 In 3.20-3.29, 3 Cd 3.47
Cd: 0.3901 0.3901 0.3901  1 Mg 2.95, 3 In 3.04
Cd: 0.6099 0.6099 0.6099  1 Mg 2.95, 3 In 3.04
Cd: 0.8667 0.8667 0.8667  3 Mg 3.11, 4 In 3.20-3.29, 3 Cd 3.47
In: 0.2526 0.2526 0.2526  7 Cd 3.04-3.29
In: 0.7474 0.7474 0.7474  7 Cd 3.04-3.29

- Total magnetic moment: 0.0 μB/f.u.
- DFT total energy: -1.691 eV per atom
- Symmetry: R-3m (166)
- Calculated volume: 25.68 Å³/atom
- Formation enthalpy at 0 K: -0.14 eV/atom

Entry 2:
Here is a geometry-optimized SrMg2Cd2In2 structure from the Alexandria database. Energies are from PBE.

a b c (Å): 9.2916 9.2916 9.2916
angles (deg): 30.72 30.72 30.72
With the nearest neighbours (Å) after each atom.
Fractional positions:
Sr: 0.0000 0.0000 0.0000  6 In 3.50, 2 Mg 3.70, 6 Cd 3.89
Mg: 0.1394 0.1394 0.1394  3 Cd 3.03, 4 In 3.11-3.29, 3 Mg 3.19
Mg: 0.8606 0.8606 0.8606  3 Cd 3.03, 4 In 3.11-3.29, 3 Mg 3.19
Cd: 0.4335 0.4335 0.4335  3 In 2.91, 3 Mg 3.03
Cd: 0.5665 0.5665 0.5665  3 In 2.91, 3 Mg 3.03
In: 0.2566 0.2566 0.2566  3 Cd 2.91, 1 Mg 3.11
In: 0.7434 0.7434 0.7434  3 Cd 2.91, 1 Mg 3.11

- Total magnetic moment: 0.0 μB/f.u.
- DFT total energy: -1.953 eV per atom
- Symmetry: R-3m (166)
- Calculated volume: 26.53 Å³/atom
- Formation enthalpy at 0 K: -0.21 eV/atom